[1]
DFT (PBE) results for a relaxed structure of YTaPt2.

a = 7.545 Å, b = 7.545 Å, c = 5.895 Å
α = 90.00°, β = 90.00°, γ = 90.00°
Positions (direct):
Y: 0.000 0.000 0.000
Y: 0.000 0.500 0.250
Y: 0.500 0.000 0.750
Y: 0.500 0.500 0.500
Ta: 0.000 0.000 0.500
Ta: 0.000 0.500 0.750
Ta: 0.500 0.000 0.250
Ta: 0.500 0.500 0.000
Pt: 0.208 0.250 0.625
Pt: 0.250 0.708 0.875
Pt: 0.250 0.792 0.375
Pt: 0.292 0.250 0.125
Pt: 0.708 0.750 0.125
Pt: 0.750 0.208 0.375
Pt: 0.750 0.292 0.875
Pt: 0.792 0.750 0.625

Properties
- Size of the total moment: 0.00 μB per cell
- Total energy: -31.8 eV/f.u.
- Space-group type: No. 122

=====

[2]
DFT (PBE) results for a relaxed structure of YTaPt2.

a = 3.508 Å, b = 3.508 Å, c = 6.416 Å
α = 90.00°, β = 90.00°, γ = 90.00°
Positions (direct):
Y: 0.000 0.000 0.000
Ta: 0.500 0.500 0.658
Pt: 0.000 0.000 0.494
Pt: 0.500 0.500 0.235

Properties
- Size of the total moment: 0.00 μB per cell
- Total energy: -32.6 eV/f.u.
- Space-group type: No. 99

=====

[3]
DFT (PBE) results for a relaxed structure of Y3TaPt.

a = 5.357 Å, b = 5.357 Å, c = 5.357 Å
α = 90.00°, β = 90.00°, γ = 90.00°
Positions (direct):
Y: 0.000 0.000 0.500
Y: 0.000 0.500 0.000
Y: 0.500 0.000 0.000
Ta: 0.500 0.500 0.500
Pt: 0.000 0.000 0.000

Properties
- ΔE to the lowest computed polymorph: 0 meV/atom
- Size of the total moment: 2.85 μB per cell
- Space-group type: No. 221

=====

[4]
DFT (PBE) results for a relaxed structure of YTaPt6.

a = 4.062 Å, b = 4.062 Å, c = 8.134 Å
α = 90.00°, β = 90.00°, γ = 90.00°
Positions (direct):
Y: 0.000 0.000 0.000
Ta: 0.000 0.000 0.500
Pt: 0.000 0.500 0.266
Pt: 0.000 0.500 0.734
Pt: 0.500 0.000 0.266
Pt: 0.500 0.000 0.734
Pt: 0.500 0.500 0.000
Pt: 0.500 0.500 0.500

Properties
- Size of the total moment: 0.00 μB per cell
- Total energy: -61.6 eV/f.u.
- Space-group type: No. 123

=====

[5]
DFT (PBE) results for a relaxed structure of YTa2Pt.

a = 3.186 Å, b = 5.106 Å, c = 9.733 Å
α = 90.00°, β = 90.00°, γ = 90.00°
Positions (direct):
Y: 0.000 0.000 0.000
Y: 0.500 0.500 0.500
Ta: 0.000 0.000 0.516
Ta: 0.000 0.500 0.778
Ta: 0.500 0.000 0.278
Ta: 0.500 0.500 0.016
Pt: 0.000 0.500 0.240
Pt: 0.500 0.000 0.740

Properties
- ΔE to the lowest computed polymorph: 216 meV/atom
- Size of the total moment: 0.00 μB per cell
- Space-group type: No. 44

=====

[6]
DFT (PBE) results for a relaxed structure of YTaPt4.

a = 5.335 Å, b = 5.335 Å, c = 5.335 Å
α = 60.00°, β = 60.00°, γ = 60.00°
Positions (direct):
Y: 0.000 0.000 0.000
Ta: 0.250 0.250 0.250
Pt: 0.126 0.625 0.625
Pt: 0.625 0.126 0.625
Pt: 0.625 0.625 0.126
Pt: 0.625 0.625 0.625

Properties
- Size of the total moment: 0.00 μB per cell
- Total energy: -46.0 eV/f.u.
- Space-group type: No. 216